Record 1
Material: VRu2Rh5
Method: DFT, PBE
State: relaxed

Calculated values
**N(E_F)**: 1.05 states/eV per atom
**Energy relative to the elements**: -154 meV per atom
**Total moment**: 0.0 Bohr magnetons per cell
**Symmetry**: Fmm2 (42)

```
VRu2Rh5
1.0
-0.3922 1.4136 -5.2587
-1.8231 -4.8615 1.6871
-2.7958 3.4499 2.5409
V Ru Rh
1 2 5
Direct
0.8239 0.7318 0.0000
0.2308 0.8193 0.4944
0.7364 0.3249 0.5056
0.2365 0.3193 0.5000
0.3184 0.7372 0.0000
0.8186 0.2373 0.0000
0.7365 0.8193 0.5000
0.3219 0.2340 0.0000
```

***

Record 2
Material: TiCu3Cl
Method: DFT, PBE
State: relaxed

Calculated values
**E_form (uncorrected)**: 1.189 eV per atom
**N(E_F)**: 1.34 states/eV per atom
**Total moment**: 0.9 Bohr magnetons per cell
**Symmetry**: Pm-3m (221)

```
TiCu3Cl
1.0
4.8174 0.0000 0.0000
0.0000 4.8174 0.0000
0.0000 0.0000 4.8174
Cl Cu Ti
1 3 1
Direct
0.5000 0.5000 0.5000
0.0000 0.5000 0.0000
0.0000 0.0000 0.5000
0.5000 0.0000 0.0000
0.0000 0.0000 0.0000
```

***

Record 3
Material: Ce2Ho3TmAs6
Method: DFT, PBE
State: relaxed

Calculated values
**N(E_F)**: 0.95 states/eV per atom
**Energy relative to the elements**: -1488 meV per atom
**Total moment**: 1.2 Bohr magnetons per cell
**Symmetry**: C2/m (12)

```
Ce2Ho3TmAs6
1.0
4.1365 0.0000 0.0000
0.0000 8.2582 0.2987
-2.0683 -2.3746 8.6787
Ce Ho Tm As
2 3 1 6
Direct
0.8346 0.6689 0.6692
0.1654 0.3311 0.3308
0.5000 0.5000 0.0000
0.8333 0.1656 0.6666
0.1667 0.8344 0.3334
0.5000 0.0000 0.0000
0.3342 0.9210 0.6685
0.6656 0.5864 0.3313
0.6658 0.0790 0.3315
0.9985 0.2476 0.9971
0.0015 0.7524 0.0029
0.3344 0.4136 0.6687
```